# BaAlPb | Alexandria | PBE-GGA | optimized geometry
# crystal system	cubic
# DOS(E_F)	0.88	states/eV/atom
data_BaAlPb
_chemical_formula_sum 'Ba4 Al4 Pb4'
_cell_length_a 7.8158
_cell_length_b 7.8158
_cell_length_c 7.8158
_cell_angle_alpha 90.00
_cell_angle_beta 90.00
_cell_angle_gamma 90.00
_space_group_name_H-M_alt 'F -4 3 m'
_space_group_IT_number 216
_space_group_name_Hall 'F -4 2 3'
loop_
_atom_site_label
_atom_site_type_symbol
_atom_site_fract_x
_atom_site_fract_y
_atom_site_fract_z
_atom_site_occupancy
Ba1 Ba 0.0000 0.0000 0.0000 1
Al1 Al 0.2500 0.2500 0.7500 1
Pb1 Pb 0.2500 0.2500 0.2500 1


# Ba2AlPb | Alexandria | PBE-GGA | optimized geometry
# crystal system	tetragonal
# DOS(E_F)	1.40	states/eV/atom
# excess energy over the best structure of this formula in the dataset	0.443	eV per atom
data_Ba2AlPb
_chemical_formula_sum 'Ba8 Al4 Pb4'
_cell_length_a 9.4737
_cell_length_b 9.4737
_cell_length_c 7.2008
_cell_angle_alpha 90.00
_cell_angle_beta 90.00
_cell_angle_gamma 90.00
_space_group_name_H-M_alt 'I -4 2 d'
_space_group_IT_number 122
_space_group_name_Hall 'I -4 2bw'
loop_
_atom_site_label
_atom_site_type_symbol
_atom_site_fract_x
_atom_site_fract_y
_atom_site_fract_z
_atom_site_occupancy
Ba1 Ba 0.2389 0.2500 0.1250 1
Al1 Al 0.0000 0.0000 0.0000 1
Pb1 Pb 0.0000 0.0000 0.5000 1


# BaAl2Pb2 | Alexandria | PBE-GGA | optimized geometry
# crystal system	tetragonal
# DOS(E_F)	0.38	states/eV/atom
# excess energy over the best structure of this formula in the dataset	0.000	eV per atom
data_BaAl2Pb2
_chemical_formula_sum 'Ba2 Al4 Pb4'
_cell_length_a 5.2154
_cell_length_b 5.2154
_cell_length_c 10.9281
_cell_angle_alpha 90.00
_cell_angle_beta 90.00
_cell_angle_gamma 90.00
_space_group_name_H-M_alt 'I 4/m m m'
_space_group_IT_number 139
_space_group_name_Hall '-I 4 2'
loop_
_atom_site_label
_atom_site_type_symbol
_atom_site_fract_x
_atom_site_fract_y
_atom_site_fract_z
_atom_site_occupancy
Ba1 Ba 0.0000 0.0000 0.0000 1
Al1 Al 0.0000 0.0000 0.3805 1
Pb1 Pb 0.0000 0.5000 0.2500 1


# Ba2AlPb | Alexandria | PBE-GGA | optimized geometry
# crystal system	orthorhombic
# DOS(E_F)	0.88	states/eV/atom
# excess energy over the best structure of this formula in the dataset	0.000	eV per atom
data_Ba2AlPb
_chemical_formula_sum 'Ba4 Al2 Pb2'
_cell_length_a 4.7467
_cell_length_b 5.2140
_cell_length_c 13.0510
_cell_angle_alpha 90.00
_cell_angle_beta 90.00
_cell_angle_gamma 90.00
_space_group_name_H-M_alt 'A m m 2'
_space_group_IT_number 38
loop_
_space_group_symop_operation_xyz
'x,y,z'
'-x,-y,z'
'-x,y,z'
'x,-y,z'
'x,y+1/2,z+1/2'
'-x,-y+1/2,z+1/2'
'-x,y+1/2,z+1/2'
'x,-y+1/2,z+1/2'
loop_
_atom_site_label
_atom_site_type_symbol
_atom_site_fract_x
_atom_site_fract_y
_atom_site_fract_z
_atom_site_occupancy
Ba1 Ba 0.0000 0.0000 0.0000 1
Ba2 Ba 0.5000 0.0000 0.2795 1
Al1 Al 0.5000 0.0000 0.5746 1
Pb1 Pb 0.0000 0.0000 0.7066 1


# Ba2AlPb | Alexandria | PBE-GGA | optimized geometry
# crystal system	tetragonal
# DOS(E_F)	1.19	states/eV/atom
# excess energy over the best structure of this formula in the dataset	0.267	eV per atom
data_Ba2AlPb
_chemical_formula_sum 'Ba2 Al1 Pb1'
_cell_length_a 4.0261
_cell_length_b 4.0261
_cell_length_c 10.0042
_cell_angle_alpha 90.00
_cell_angle_beta 90.00
_cell_angle_gamma 90.00
_space_group_name_H-M_alt 'P 4 m m'
_space_group_IT_number 99
loop_
_space_group_symop_operation_xyz
'x,y,z'
'-y,x,z'
'-x,-y,z'
'y,-x,z'
'-x,y,z'
'y,x,z'
'x,-y,z'
'-y,-x,z'
loop_
_atom_site_label
_atom_site_type_symbol
_atom_site_fract_x
_atom_site_fract_y
_atom_site_fract_z
_atom_site_occupancy
Ba1 Ba 0.0000 0.0000 0.0000 1
Ba2 Ba 0.5000 0.5000 0.3946 1
Al1 Al 0.5000 0.5000 0.7665 1
Pb1 Pb 0.0000 0.0000 0.6377 1


# BaAl2Pb | Alexandria | PBE-GGA | optimized geometry
# crystal system	trigonal
# DOS(E_F)	0.24	states/eV/atom
data_BaAl2Pb
_chemical_formula_sum 'Ba3 Al6 Pb3'
_cell_length_a 4.6459
_cell_length_b 4.6459
_cell_length_c 19.3661
_cell_angle_alpha 90.00
_cell_angle_beta 90.00
_cell_angle_gamma 120.00
_space_group_name_H-M_alt 'R 3 m'
_space_group_IT_number 160
_space_group_name_Hall 'R 3 -2"'
loop_
_atom_site_label
_atom_site_type_symbol
_atom_site_fract_x
_atom_site_fract_y
_atom_site_fract_z
_atom_site_occupancy
Ba1 Ba 0.0000 0.0000 0.0000 1
Al1 Al 0.0000 0.0000 0.4541 1
Al2 Al 0.0000 0.0000 0.7831 1
Pb1 Pb 0.0000 0.0000 0.2026 1


For the records above, the corresponding formation energy values read 0.311; 0.080; -0.209; -0.363; -0.095; -0.213 eV/atom.